*w*
The following is a DFT calculation (PBE) of a relaxed structure of TmZrCu.

Lattice parameters (Å, degrees): 4.622 4.622 6.534 90.00 90.00 90.00
Space group P4/nmm (No. 129, origin choice 2)
Inequivalent atoms, fractional coordinates:
Tm: 0.250 0.750 0.000 (multiplicity 2)
Zr: 0.250 0.750 0.500 (multiplicity 2)
Cu: 0.250 0.250 0.263 (multiplicity 2)

Results
Total magnetic moment (μB/atom): 0.00


*x*
The following is a DFT calculation (PBE) of a relaxed structure of TmZrCu.

Lattice parameters (Å, degrees): 3.316 3.316 11.595 90.00 90.00 90.00
Space group I4mm (No. 107)
Inequivalent atoms, fractional coordinates:
Tm: 0.000 0.000 0.000 (multiplicity 2)
Zr: 0.000 0.000 0.301 (multiplicity 2)
Cu: 0.000 0.000 0.665 (multiplicity 2)

Results
Total magnetic moment (μB/atom): 0.00


Result of the stability comparison: *x* is the most stable of them.


*w*
The following is a DFT calculation (PBE) of a relaxed structure of TmZrCu2.

Lattice parameters (Å, degrees): 3.343 3.343 6.716 90.00 90.00 90.00
Space group P4/mmm (No. 123)
Inequivalent atoms, fractional coordinates:
Tm: 0.000 0.000 0.000 (multiplicity 1)
Zr: 0.000 0.000 0.500 (multiplicity 1)
Cu: 0.500 0.500 0.269 (multiplicity 2)

Results
Total magnetic moment (μB/atom): 0.17


*x*
The following is a DFT calculation (PBE) of a relaxed structure of TmZrCu2.

Lattice parameters (Å, degrees): 6.689 6.689 6.689 90.00 90.00 90.00
Space group Fm-3m (No. 225)
Inequivalent atoms, fractional coordinates:
Tm: 0.000 0.000 0.000 (multiplicity 4)
Zr: 0.000 0.000 0.500 (multiplicity 4)
Cu: 0.250 0.250 0.250 (multiplicity 8)

Results
Total magnetic moment (μB/atom): 0.16


Result of the stability comparison: *w* is the most stable of them.


*w*
The following is a DFT calculation (PBE) of a relaxed structure of UV2Cu.

Lattice parameters (Å, degrees): 4.368 4.368 3.143 90.00 90.00 90.00
Space group P4/mmm (No. 123)
Inequivalent atoms, fractional coordinates:
U: 0.000 0.000 0.000 (multiplicity 1)
V: 0.000 0.500 0.500 (multiplicity 2)
Cu: 0.500 0.500 0.000 (multiplicity 1)

Results
Total magnetic moment (μB/atom): 0.30


*x*
The following is a DFT calculation (PBE) of a relaxed structure of UV2Cu.

Lattice parameters (Å, degrees): 3.229 3.229 5.844 90.00 90.00 90.00
Space group P4/mmm (No. 123)
Inequivalent atoms, fractional coordinates:
U: 0.000 0.000 0.000 (multiplicity 1)
V: 0.500 0.500 0.237 (multiplicity 2)
Cu: 0.000 0.000 0.500 (multiplicity 1)

Results
Total magnetic moment (μB/atom): 0.32


Result of the stability comparison: *w* is the most stable of them.


*w*
The following is a DFT calculation (PBE) of a relaxed structure of VCuW2.

Lattice parameters (Å, degrees): 6.143 6.143 6.143 90.00 90.00 90.00
Space group Fm-3m (No. 225)
Inequivalent atoms, fractional coordinates:
V: 0.000 0.000 0.000 (multiplicity 4)
Cu: 0.000 0.000 0.500 (multiplicity 4)
W: 0.250 0.250 0.250 (multiplicity 8)

Results
Total magnetic moment (μB/atom): 0.00


*x*
The following is a DFT calculation (PBE) of a relaxed structure of VCuW2.

Lattice parameters (Å, degrees): 6.897 6.897 5.256 90.00 90.00 90.00
Space group I-42d (No. 122)
Inequivalent atoms, fractional coordinates:
V: 0.000 0.000 0.000 (multiplicity 4)
Cu: 0.000 0.000 0.500 (multiplicity 4)
W: 0.246 0.250 0.625 (multiplicity 8)

Results
Total magnetic moment (μB/atom): 0.00


Result of the stability comparison: *w* is the most stable of them.


*w*
The following is a DFT calculation (PBE) of a relaxed structure of V2Cu2W.

Lattice parameters (Å, degrees): 3.454 3.454 11.554 90.00 90.00 90.00
Space group I4/mmm (No. 139)
Inequivalent atoms, fractional coordinates:
V: 0.000 0.500 0.250 (multiplicity 4)
Cu: 0.000 0.000 0.096 (multiplicity 4)
W: 0.000 0.000 0.500 (multiplicity 2)

Results
Total magnetic moment (μB/atom): 0.00


*x*
The following is a DFT calculation (PBE) of a relaxed structure of V2Cu2W.

Lattice parameters (Å, degrees): 7.160 7.160 2.633 90.00 90.00 90.00
Space group P4/mbm (No. 127)
Inequivalent atoms, fractional coordinates:
V: 0.178 0.322 0.000 (multiplicity 4)
Cu: 0.119 0.619 0.500 (multiplicity 4)
W: 0.000 0.000 0.500 (multiplicity 2)

Results
Total magnetic moment (μB/atom): 0.00


Result of the stability comparison: *x* is the most stable of them.


*w*
The following is a DFT calculation (PBE) of a relaxed structure of V3CuW.

Lattice parameters (Å, degrees): 4.583 4.583 4.583 90.00 90.00 90.00
Space group Pm-3m (No. 221)
Inequivalent atoms, fractional coordinates:
V: 0.000 0.000 0.500 (multiplicity 3)
Cu: 0.500 0.500 0.500 (multiplicity 1)
W: 0.000 0.000 0.000 (multiplicity 1)

Results
Total magnetic moment (μB/atom): 0.23


*x*
The following is a DFT calculation (PBE) of a relaxed structure of V3CuW.

Lattice parameters (Å, degrees): 4.325 4.325 4.325 90.00 90.00 90.00
Space group Pm-3m (No. 221)
Inequivalent atoms, fractional coordinates:
V: 0.000 0.000 0.500 (multiplicity 3)
Cu: 0.000 0.000 0.000 (multiplicity 1)
W: 0.500 0.500 0.500 (multiplicity 1)

Results
Total magnetic moment (μB/atom): 0.00


Result of the stability comparison: *x* is the most stable of them.


*w*
The following is a DFT calculation (PBE) of a relaxed structure of VCuW3.

Lattice parameters (Å, degrees): 4.509 4.509 4.509 90.00 90.00 90.00
Space group Pm-3m (No. 221)
Inequivalent atoms, fractional coordinates:
V: 0.000 0.000 0.000 (multiplicity 1)
Cu: 0.500 0.500 0.500 (multiplicity 1)
W: 0.000 0.000 0.500 (multiplicity 3)

Results
Total magnetic moment (μB/atom): 0.00


*x*
The following is a DFT calculation (PBE) of a relaxed structure of VCuW3.

Lattice parameters (Å, degrees): 4.479 4.479 4.479 90.00 90.00 90.00
Space group Pm-3m (No. 221)
Inequivalent atoms, fractional coordinates:
V: 0.000 0.000 0.000 (multiplicity 1)
Cu: 0.500 0.500 0.500 (multiplicity 1)
W: 0.000 0.500 0.500 (multiplicity 3)

Results
Total magnetic moment (μB/atom): 0.11


Result of the stability comparison: *w* is the most stable of them.


*w*
The following is a DFT calculation (PBE) of a relaxed structure of Y2VCu2.

Lattice parameters (Å, degrees): 3.527 3.527 17.007 90.00 90.00 90.00
Space group I4/mmm (No. 139)
Inequivalent atoms, fractional coordinates:
Y: 0.000 0.000 0.106 (multiplicity 4)
V: 0.000 0.000 0.500 (multiplicity 2)
Cu: 0.000 0.500 0.250 (multiplicity 4)

Results
Total magnetic moment (μB/atom): 0.62


*x*
The following is a DFT calculation (PBE) of a relaxed structure of Y2VCu2.

Lattice parameters (Å, degrees): 7.333 7.333 3.879 90.00 90.00 90.00
Space group P4/mbm (No. 127)
Inequivalent atoms, fractional coordinates:
Y: 0.182 0.318 0.000 (multiplicity 4)
V: 0.000 0.000 0.500 (multiplicity 2)
Cu: 0.120 0.620 0.500 (multiplicity 4)

Results
Total magnetic moment (μB/atom): 0.85


Result of the stability comparison: *x* is the most stable of them.


*w*
The following is a DFT calculation (PBE) of a relaxed structure of YVCu2.

Lattice parameters (Å, degrees): 6.535 6.535 6.535 90.00 90.00 90.00
Space group Fm-3m (No. 225)
Inequivalent atoms, fractional coordinates:
Y: 0.000 0.000 0.000 (multiplicity 4)
V: 0.000 0.000 0.500 (multiplicity 4)
Cu: 0.250 0.250 0.250 (multiplicity 8)

Results
Total magnetic moment (μB/atom): 0.71


*x*
The following is a DFT calculation (PBE) of a relaxed structure of YVCu2.

Lattice parameters (Å, degrees): 4.362 4.362 17.264 90.00 90.00 90.00
Space group I-42d (No. 122)
Inequivalent atoms, fractional coordinates:
Y: 0.000 0.000 0.000 (multiplicity 4)
V: 0.000 0.000 0.500 (multiplicity 4)
Cu: 0.117 0.250 0.625 (multiplicity 8)

Results
Total magnetic moment (μB/atom): 0.72


Result of the stability comparison: *w* is the most stable of them.


*w*
The following is a DFT calculation (PBE) of a relaxed structure of VZn6Cu.

Lattice parameters (Å, degrees): 3.878 3.878 7.532 90.00 90.00 90.00
Space group P4/mmm (No. 123)
Inequivalent atoms, fractional coordinates:
V: 0.000 0.000 0.000 (multiplicity 1)
Zn: 0.000 0.500 0.255 (multiplicity 4)
Zn: 0.500 0.500 0.000 (multiplicity 1)
Zn: 0.500 0.500 0.500 (multiplicity 1)
Cu: 0.000 0.000 0.500 (multiplicity 1)

Results
Total magnetic moment (μB/atom): 0.20


*x*
The following is a DFT calculation (PBE) of a relaxed structure of VZn6Cu.

Lattice parameters (Å, degrees): 4.151 6.128 8.950 90.00 90.00 90.00
Space group Amm2 (No. 38)
Inequivalent atoms, fractional coordinates:
V: 0.000 0.000 0.000 (multiplicity 2)
Zn: 0.000 0.000 0.447 (multiplicity 2)
Zn: 0.000 0.224 0.726 (multiplicity 4)
Zn: 0.500 0.000 0.809 (multiplicity 2)
Zn: 0.500 0.223 0.529 (multiplicity 4)
Cu: 0.500 0.000 0.250 (multiplicity 2)

Results
Total magnetic moment (μB/atom): 0.10


Result of the stability comparison: *w* is the most stable of them.


*w*
The following is a DFT calculation (PBE) of a relaxed structure of VZn3Cu.

Lattice parameters (Å, degrees): 15.385 3.230 5.689 90.00 101.60 90.00
Space group C2/m (No. 12)
Inequivalent atoms, fractional coordinates:
V: 0.208 0.000 0.365 (multiplicity 4)
Zn: 0.000 0.000 0.236 (multiplicity 4)
Zn: 0.100 0.500 0.539 (multiplicity 4)
Zn: 0.195 0.000 0.855 (multiplicity 4)
Cu: 0.103 0.500 0.056 (multiplicity 4)

Results
Total magnetic moment (μB/atom): 0.00


*x*
The following is a DFT calculation (PBE) of a relaxed structure of VZn3Cu.

Lattice parameters (Å, degrees): 4.490 4.490 4.490 90.00 90.00 90.00
Space group Pm-3m (No. 221)
Inequivalent atoms, fractional coordinates:
V: 0.000 0.000 0.000 (multiplicity 1)
Zn: 0.000 0.500 0.500 (multiplicity 3)
Cu: 0.500 0.500 0.500 (multiplicity 1)

Results
Total magnetic moment (μB/atom): 0.64


Result of the stability comparison: *w* is the most stable of them.


*w*
The following is a DFT calculation (PBE) of a relaxed structure of VZn2Cu2.

Lattice parameters (Å, degrees): 7.199 7.199 2.585 90.00 90.00 90.00
Space group P4/mbm (No. 127)
Inequivalent atoms, fractional coordinates:
V: 0.000 0.000 0.000 (multiplicity 2)
Zn: 0.174 0.326 0.500 (multiplicity 4)
Cu: 0.124 0.624 0.000 (multiplicity 4)

Results
Total magnetic moment (μB/atom): 0.16


*x*
The following is a DFT calculation (PBE) of a relaxed structure of VZn2Cu2.

Lattice parameters (Å, degrees): 7.182 7.182 2.610 90.00 90.00 90.00
Space group P4/mbm (No. 127)
Inequivalent atoms, fractional coordinates:
V: 0.000 0.000 0.000 (multiplicity 2)
Zn: 0.129 0.371 0.000 (multiplicity 4)
Cu: 0.170 0.670 0.500 (multiplicity 4)

Results
Total magnetic moment (μB/atom): 0.25


Result of the stability comparison: *w* is the most stable of them.


*w*
The following is a DFT calculation (PBE) of a relaxed structure of ZrVCu2.

Lattice parameters (Å, degrees): 6.310 6.310 6.310 90.00 90.00 90.00
Space group Fm-3m (No. 225)
Inequivalent atoms, fractional coordinates:
Zr: 0.000 0.000 0.000 (multiplicity 4)
V: 0.000 0.000 0.500 (multiplicity 4)
Cu: 0.250 0.250 0.250 (multiplicity 8)

Results
Total magnetic moment (μB/atom): 0.67


*x*
The following is a DFT calculation (PBE) of a relaxed structure of ZrVCu2.

Lattice parameters (Å, degrees): 7.129 7.129 5.019 90.00 90.00 90.00
Space group I-42d (No. 122)
Inequivalent atoms, fractional coordinates:
Zr: 0.000 0.000 0.000 (multiplicity 4)
V: 0.000 0.000 0.500 (multiplicity 4)
Cu: 0.219 0.250 0.625 (multiplicity 8)

Results
Total magnetic moment (μB/atom): 0.00


Result of the stability comparison: *w* is the most stable of them.